1.
The following is a GGA-PBE calculation of a geometry-optimized Be3Pb structure, from Alexandria.

Cell: 3.8342 3.8342 3.8342 Å, 90.00 90.00 90.00°
Last column: nearest neighbours and their distance in Å.
Element x y z (fractional)
Pb1 0.0000 0.0000 0.0000  12 Be 2.71
Be1 0.0000 0.5000 0.5000  4 Pb 2.71, 8 Be 2.71
Be2 0.5000 0.0000 0.5000  4 Pb 2.71, 8 Be 2.71
Be3 0.5000 0.5000 0.0000  4 Pb 2.71, 8 Be 2.71

* energy relative to the lowest polymorph listed for this composition: 524 meV/atom



2.
The following is a GGA-PBE calculation of a geometry-optimized Be5Pb structure, from Alexandria.

Cell: 6.1940 6.1940 6.1940 Å, 146.03 141.14 52.56°
Last column: nearest neighbours and their distance in Å.
Element x y z (fractional)
Be1 0.7705 0.0156 0.7550  4 Be 2.02-2.10
Be2 0.9240 0.4240 0.5000  1 Be 1.95
Be3 0.5087 0.5087 0.0000  8 Be 2.09-2.29
Be4 0.0992 0.5992 0.5000  1 Be 1.95
Be5 0.2606 0.0156 0.2450  4 Be 2.02-2.10
Pb1 0.2693 0.2693 0.0000  5 Be 2.62-2.68

* energy relative to the lowest polymorph listed for this composition: 0 meV/atom



3.
The following is a GGA-PBE calculation of a geometry-optimized Be5Pb structure, from Alexandria.

Cell: 4.7970 4.7970 3.6641 Å, 90.00 90.00 120.00°
Last column: nearest neighbours and their distance in Å.
Element x y z (fractional)
Be1 0.3333 0.6667 0.0000  6 Be 2.30
Be2 0.6667 0.3333 0.0000  6 Be 2.30
Be3 0.5000 0.0000 0.5000  8 Be 2.30-2.40
Be4 0.0000 0.5000 0.5000  8 Be 2.30-2.40
Be5 0.5000 0.5000 0.5000  8 Be 2.30-2.40
Pb1 0.0000 0.0000 0.0000  18 Be 2.77-3.02

* energy relative to the lowest polymorph listed for this composition: 109 meV/atom



4.
The following is a GGA-PBE calculation of a geometry-optimized Be5Pb structure, from Alexandria.

Cell: 4.6881 4.6881 4.6881 Å, 60.00 60.00 60.00°
Last column: nearest neighbours and their distance in Å.
Element x y z (fractional)
Be1 0.2500 0.2500 0.2500  12 Be 2.74, 4 Pb 2.87
Be2 0.6209 0.6209 0.6209  6 Be 2.27-2.42
Be3 0.6209 0.6209 0.1372  6 Be 2.27-2.42
Be4 0.1372 0.6209 0.6209  6 Be 2.27-2.42
Be5 0.6209 0.1372 0.6209  6 Be 2.27-2.42
Pb1 0.0000 0.0000 0.0000  16 Be 2.76-2.87

* energy relative to the lowest polymorph listed for this composition: 245 meV/atom



5.
The following is a GGA-PBE calculation of a geometry-optimized Be3Pb structure, from Alexandria.

Cell: 4.3801 4.3801 4.3801 Å, 60.00 60.00 60.00°
Last column: nearest neighbours and their distance in Å.
Element x y z (fractional)
Pb1 0.7500 0.7500 0.7500  8 Be 2.68
Be1 0.0000 0.0000 0.0000  4 Pb 2.68, 4 Be 2.68
Be2 0.2500 0.2500 0.2500  8 Be 2.68
Be3 0.5000 0.5000 0.5000  4 Pb 2.68, 4 Be 2.68

* energy relative to the lowest polymorph listed for this composition: 649 meV/atom



6.
The following is a GGA-PBE calculation of a geometry-optimized Be8Pb structure, from Alexandria.

Cell: 5.5822 5.5822 5.5822 Å, 95.77 95.77 143.02°
Last column: nearest neighbours and their distance in Å.
Element x y z (fractional)
Be1 0.3047 0.6953 0.0000  4 Be 2.12-2.31
Be2 0.6953 0.3047 0.0000  4 Be 2.12-2.31
Be3 0.0000 0.3556 0.3556  7 Be 2.16-2.34
Be4 0.6953 0.6953 0.3905  4 Be 2.12-2.31
Be5 0.3556 0.0000 0.3556  7 Be 2.16-2.34
Be6 0.3047 0.3047 0.6095  4 Be 2.12-2.31
Be7 0.0000 0.6444 0.6444  7 Be 2.16-2.34
Be8 0.6444 0.0000 0.6444  7 Be 2.16-2.34
Pb1 0.0000 0.0000 0.0000  12 Be 2.66-2.72



7.
The following is a GGA-PBE calculation of a geometry-optimized BePb7 structure, from Alexandria.

Cell: 6.9590 6.9590 6.9590 Å, 60.00 60.00 60.00°
Last column: nearest neighbours and their distance in Å.
Element x y z (fractional)
Be1 0.0000 0.0000 0.0000  12 Pb 3.48
Pb1 0.5000 0.5000 0.0000  10 Pb 3.48, 2 Be 3.48
Pb2 0.5000 0.0000 0.5000  10 Pb 3.48, 2 Be 3.48
Pb3 0.5000 0.0000 0.0000  10 Pb 3.48, 2 Be 3.48
Pb4 0.0000 0.0000 0.5000  10 Pb 3.48, 2 Be 3.48
Pb5 0.0000 0.5000 0.0000  10 Pb 3.48, 2 Be 3.48
Pb6 0.0000 0.5000 0.5000  10 Pb 3.48, 2 Be 3.48
Pb7 0.5000 0.5000 0.5000  12 Pb 3.48



8.
The following is a GGA-PBE calculation of a geometry-optimized Be7Pb structure, from Alexandria.

Cell: 5.0629 5.0629 5.0629 Å, 60.00 60.00 60.00°
Last column: nearest neighbours and their distance in Å.
Element x y z (fractional)
Be1 0.5000 0.5000 0.0000  10 Be 2.53, 2 Pb 2.53
Be2 0.5000 0.0000 0.5000  10 Be 2.53, 2 Pb 2.53
Be3 0.5000 0.0000 0.0000  10 Be 2.53, 2 Pb 2.53
Be4 0.0000 0.0000 0.5000  10 Be 2.53, 2 Pb 2.53
Be5 0.0000 0.5000 0.0000  10 Be 2.53, 2 Pb 2.53
Be6 0.0000 0.5000 0.5000  10 Be 2.53, 2 Pb 2.53
Be7 0.5000 0.5000 0.5000  12 Be 2.53
Pb1 0.0000 0.0000 0.0000  12 Be 2.53



9.
The following is a GGA-PBE calculation of a geometry-optimized Be4Pb5 structure, from Alexandria.

Cell: 7.8002 7.8002 7.8002 Å, 93.39 93.39 151.83°
Last column: nearest neighbours and their distance in Å.
Element x y z (fractional)
Be1 0.5930 0.0000 0.5930  1 Be 1.99
Be2 0.4070 0.0000 0.4070  1 Be 1.99
Be3 0.0000 0.4070 0.4070  1 Be 1.99
Be4 0.0000 0.5930 0.5930  1 Be 1.99
Pb1 0.0000 0.0000 0.0000  8 Pb 3.19
Pb2 0.6697 0.3303 0.0000  4 Pb 3.08-3.19
Pb3 0.3303 0.6697 0.0000  4 Pb 3.08-3.19
Pb4 0.3303 0.3303 0.6605  4 Pb 3.08-3.19
Pb5 0.6697 0.6697 0.3395  4 Pb 3.08-3.19

* energy relative to the lowest polymorph listed for this composition: 0 meV/atom



10.
The following is a GGA-PBE calculation of a geometry-optimized Be3Pb structure, from Alexandria.

Cell: 3.6001 3.6040 4.7020 Å, 90.00 90.00 90.00°
Last column: nearest neighbours and their distance in Å.
Element x y z (fractional)
Pb1 0.0000 0.5000 0.3543  12 Be 2.83-2.99
Be1 0.0000 0.0000 0.8479  2 Be 2.10
Be2 0.5000 0.0000 0.6172  4 Be 2.10
Be3 0.5000 0.5000 0.8472  2 Be 2.10

* energy relative to the lowest polymorph listed for this composition: 355 meV/atom



11.
The following is a GGA-PBE calculation of a geometry-optimized Be3Pb structure, from Alexandria.

Cell: 4.8621 4.8621 4.8621 Å, 90.00 90.00 90.00°
Last column: nearest neighbours and their distance in Å.
Element x y z (fractional)
Be1 0.7500 0.5000 0.0000  2 Be 2.43, 4 Pb 2.72
Be2 0.2500 0.5000 0.0000  2 Be 2.43, 4 Pb 2.72
Be3 0.0000 0.7500 0.5000  2 Be 2.43, 4 Pb 2.72
Be4 0.0000 0.2500 0.5000  2 Be 2.43, 4 Pb 2.72
Be5 0.5000 0.0000 0.2500  2 Be 2.43, 4 Pb 2.72
Be6 0.5000 0.0000 0.7500  2 Be 2.43, 4 Pb 2.72
Pb1 0.0000 0.0000 0.0000  12 Be 2.72
Pb2 0.5000 0.5000 0.5000  12 Be 2.72

* energy relative to the lowest polymorph listed for this composition: 539 meV/atom



12.
The following is a GGA-PBE calculation of a geometry-optimized Be5Pb structure, from Alexandria.

Cell: 2.7753 2.7753 10.0367 Å, 90.00 90.00 90.00°
Last column: nearest neighbours and their distance in Å.
Element x y z (fractional)
Be1 0.0000 0.0000 0.7309  5 Be 2.26-2.32
Be2 0.0000 0.0000 0.2691  5 Be 2.26-2.32
Be3 0.5000 0.5000 0.6188  9 Be 2.26-2.38
Be4 0.5000 0.5000 0.3812  9 Be 2.26-2.38
Be5 0.0000 0.0000 0.5000  10 Be 2.30-2.32
Pb1 0.5000 0.5000 0.0000  4 Pb 2.78

* energy relative to the lowest polymorph listed for this composition: 189 meV/atom



13.
The following is a GGA-PBE calculation of a geometry-optimized Be3Pb structure, from Alexandria.

Cell: 3.7779 2.9031 5.7694 Å, 107.13 90.00 90.00°
Last column: nearest neighbours and their distance in Å.
Element x y z (fractional)
Pb1 0.5000 0.2500 0.2500  6 Be 2.73-2.82, 2 Pb 2.90
Be1 0.0000 0.0836 0.8933  4 Be 2.14-2.17
Be2 0.5000 0.7500 0.7500  4 Be 2.17
Be3 0.0000 0.4164 0.6067  4 Be 2.14-2.17

* energy relative to the lowest polymorph listed for this composition: 316 meV/atom



| no. | E_tot (eV/cell) | formation energy from the elements (meV per atom) |
| --- | --- | --- |
| 1 | -11.5 | 853.5 |
| 2 | -20.2 | 349.1 |
| 3 | -19.6 | 458.1 |
| 4 | -18.8 | 594.4 |
| 5 | -11.0 | 978.9 |
| 6 | -29.0 | 502.9 |
| 7 | -27.4 | 291.7 |
| 8 | -24.2 | 703.1 |
| 9 | -27.6 | 654.0 |
| 10 | -12.2 | 684.2 |
| 11 | -22.8 | 868.2 |
| 12 | -19.1 | 538.5 |
| 13 | -12.3 | 645.9 |